Here is Zr2TaOs after structural relaxation from Alexandria. Energies are from PBE-GGA.

a = 4.767 Å, b = 4.767 Å, c = 3.320 Å
α = 90.00°, β = 90.00°, γ = 90.00°
Sites, in units of the cell vectors:
Zr  0.000  0.500  0.000
Zr  0.500  0.000  0.000
Ta  0.000  0.000  0.500
Os  0.500  0.500  0.500

Calculated values
The space group is P4/mmm, No. 123. Its energy of formation is -0.124 eV per atom. The energy relative to the lowest polymorph listed for this composition comes out at 100 meV per atom.